[1]
Material: PmAgSeO
Method: DFT, PBE
State: relaxed

Lattice parameters (Å, degrees): 5.7187 5.7139 9.4018 90.00 90.00 90.00
Element x y z (fractional)
Ag 0.0000 0.2499 0.5000
Ag 0.5000 0.2499 0.5000
Ag 0.0000 0.7501 0.5000
Ag 0.5000 0.7501 0.5000
O 0.0000 0.2500 0.0000
O 0.5000 0.2500 0.0000
O 0.0000 0.7500 0.0000
O 0.5000 0.7500 0.0000
Pm 0.2500 0.0000 0.1237
Pm 0.7500 0.5000 0.1237
Pm 0.2500 0.5000 0.8762
Pm 0.7500 0.0000 0.8763
Se 0.7500 0.0000 0.2955
Se 0.2500 0.5000 0.2960
Se 0.7500 0.5000 0.7040
Se 0.2500 0.0000 0.7045

[2]
Material: DyHfCS
Method: DFT, PBE
State: relaxed

Lattice parameters (Å, degrees): 3.5136 3.5136 12.5462 90.00 90.00 120.00
Element x y z (fractional)
C 0.0000 0.0000 0.2288
C 0.0000 0.0000 0.7712
Dy 0.6667 0.3333 0.3481
Dy 0.6667 0.3333 0.6519
Hf 0.3333 0.6667 0.1426
Hf 0.3333 0.6667 0.8574
S 0.6667 0.3333 0.0000
S 0.3333 0.6667 0.5000

[3]
Material: SmNi2SbAs
Method: DFT, PBE
State: relaxed

Lattice parameters (Å, degrees): 4.3396 4.3396 9.6386 90.00 90.00 90.00
Element x y z (fractional)
As 0.0000 0.0000 0.5000
As 0.5000 0.5000 0.5000
Ni 0.0000 0.0000 0.0000
Ni 0.5000 0.5000 0.0000
Ni 0.0000 0.5000 0.3961
Ni 0.5000 0.0000 0.6039
Sb 0.0000 0.5000 0.1357
Sb 0.5000 0.0000 0.8643
Sm 0.5000 0.0000 0.2602
Sm 0.0000 0.5000 0.7398

| no. | excess energy over the best structure of this formula in the dataset (meV/atom) |
| --- | --- |
| 1 | 0 |
| 2 | 18 |
| 3 | 0 |